No. 1
# PaZn

An optimized crystal structure of PaZn (PBE, OQMD via LeMat-Bulk).

abc: 4.092 4.092 4.092
angles: 60.00 60.00 60.00
Each line ends with the local moment (μB).
Fractional positions:
Pa 0.000 0.000 0.000  0.43
Zn 0.500 0.500 0.500  0.05

## Properties
M_tot: 0.355 μB/atom
space-group type: Fm-3m, No. 225
V: 24.2 A^3/atom
energy: -9.43 eV/cell
DFT formation energy: 0.66 eV/atom

---

No. 2
# Y2Ir2Pd

An optimized crystal structure of Y2Ir2Pd (PBE, OQMD via LeMat-Bulk).

abc: 7.326 7.326 7.326
angles: 149.31 149.31 43.95
Fractional positions:
Ir 0.750 0.250 0.500
Ir 0.250 0.750 0.500
Pd 0.000 0.000 0.000
Y 0.392 0.392 0.000
Y 0.608 0.608 0.000

## Properties
M_tot: 0.002 μB/atom
space-group type: I4/mmm, No. 139
V: 20.4 A^3/atom
energy: -37.01 eV/cell
DFT formation energy: -0.24 eV/atom

---

No. 3
# NdZrNp

An optimized crystal structure of NdZrNp (PBE, OQMD via LeMat-Bulk).

abc: 4.892 4.892 4.892
angles: 60.00 60.00 60.00
Each line ends with the local moment (μB).
Fractional positions:
Nd 0.000 0.000 0.000  0.08
Np 0.750 0.750 0.750  3.80
Zr 0.250 0.250 0.250  0.08

## Properties
M_tot: 1.436 μB/atom
space-group type: F-43m, No. 216
V: 27.6 A^3/atom
energy: -22.23 eV/cell
DFT formation energy: 1.28 eV/atom